## P
## HfTaOs (PBE)

Data for a relaxed HfTaOs crystal.

- D(E_F): 2.73 states/eV per cell
- Total magnetization: 0.0 μB/cell
- Space-group type: F-43m, No. 216

Lattice parameters (Å, degrees): 4.4486 4.4486 4.4476 89.95 120.03 120.04
With the nearest neighbours (Å) after each atom.
Fractional positions:
Ta 0.9444 0.9722 0.9166  4 Os 2.72
Os 0.4444 0.2222 0.6667  4 Hf 2.72, 4 Ta 2.72
Hf 0.9445 0.4722 0.4167  4 Os 2.72

---

## Q
## HfTaOs (PBE)

Data for a relaxed HfTaOs crystal.

- D(E_F): 1.37 states/eV per cell
- Total magnetization: 0.0 μB/cell
- Space-group type: I4mm, No. 107

Lattice parameters (Å, degrees): 3.2146 3.2146 5.6148 106.63 106.63 90.00
With the nearest neighbours (Å) after each atom.
Fractional positions:
Hf 0.6102 0.6102 0.2204  4 Os 2.83, 4 Ta 2.96
Ta 0.2943 0.2943 0.5885  4 Os 2.75, 4 Hf 2.96
Os 0.9455 0.9455 0.8911  4 Ta 2.75, 4 Hf 2.83

---

What should be chosen as the most stable of them? Choose Q.

---

## P
## TbHfOs2 (PBE)

Data for a relaxed TbHfOs2 crystal.

- D(E_F): 2.73 states/eV per cell
- Total magnetization: 0.0 μB/cell
- Space-group type: P4/mmm, No. 123

Lattice parameters (Å, degrees): 3.3096 3.3096 6.7824 90.00 90.00 90.00
With the nearest neighbours (Å) after each atom.
Fractional positions:
Os 0.0000 0.0000 0.2290  4 Hf 2.81, 4 Tb 2.98, 1 Os 3.11
Os 0.0000 0.0000 0.7710  4 Hf 2.81, 4 Tb 2.98, 1 Os 3.11
Hf 0.5000 0.5000 0.0000  8 Os 2.81
Tb 0.5000 0.5000 0.5000  8 Os 2.98, 4 Tb 3.31

---

## Q
## TbHfOs2 (PBE)

Data for a relaxed TbHfOs2 crystal.

- D(E_F): 2.34 states/eV per cell
- Total magnetization: 0.0 μB/cell
- Space-group type: Fm-3m, No. 225

Lattice parameters (Å, degrees): 4.7074 4.7074 4.7074 60.00 60.00 60.00
With the nearest neighbours (Å) after each atom.
Fractional positions:
Os 0.7500 0.7500 0.7500  4 Hf 2.88, 4 Tb 2.88
Os 0.2500 0.2500 0.2500  4 Hf 2.88, 4 Tb 2.88
Tb 0.0000 0.0000 0.0000  8 Os 2.88
Hf 0.5000 0.5000 0.5000  8 Os 2.88

---

What should be chosen as the most stable of them? Choose P.

---

## P
## HfTcOs2 (PBE)

Data for a relaxed HfTcOs2 crystal.

- D(E_F): 7.02 states/eV per cell
- Total magnetization: 0.0 μB/cell
- Space-group type: Fm-3m, No. 225

Lattice parameters (Å, degrees): 4.4858 4.4858 4.4858 60.00 60.00 60.00
With the nearest neighbours (Å) after each atom.
Fractional positions:
Hf 0.5000 0.5000 0.5000  8 Os 2.75
Tc 0.0000 0.0000 0.0000  8 Os 2.75
Os 0.2500 0.2500 0.2500  4 Tc 2.75, 4 Hf 2.75
Os 0.7500 0.7500 0.7500  4 Hf 2.75, 4 Tc 2.75

---

## Q
## HfTcOs2 (PBE)

Data for a relaxed HfTcOs2 crystal.

- D(E_F): 14.44 states/eV per cell
- Total magnetization: 0.0 μB/cell
- Space-group type: I-42d, No. 122

Lattice parameters (Å, degrees): 5.8546 5.8546 6.9874 65.23 65.23 90.00
With the nearest neighbours (Å) after each atom.
Fractional positions:
Os 0.8750 0.8388 0.7500  2 Tc 2.39, 2 Hf 2.63
Os 0.5888 0.1250 0.2500  2 Tc 2.39, 2 Hf 2.63
Os 0.3750 0.4112 0.7500  2 Tc 2.39, 2 Hf 2.63
Os 0.1612 0.6250 0.2500  2 Tc 2.39, 2 Hf 2.63
Hf 0.0000 0.0000 0.0000  4 Os 2.63
Hf 0.7500 0.2500 0.5000  4 Os 2.63
Tc 0.5000 0.5000 0.0000  4 Os 2.39
Tc 0.2500 0.7500 0.5000  4 Os 2.39

---

What should be chosen as the most stable of them? Choose P.

---

## P
## Hf2TcOs (PBE)

Data for a relaxed Hf2TcOs crystal.

- D(E_F): 7.40 states/eV per cell
- Total magnetization: 0.0 μB/cell
- Space-group type: I-42d, No. 122

Lattice parameters (Å, degrees): 7.2187 7.2187 5.8499 51.90 51.90 90.00
With the nearest neighbours (Å) after each atom.
Fractional positions:
Tc 0.2500 0.7500 0.5000  4 Hf 2.67, 2 Os 2.86
Tc 0.5000 0.5000 0.0000  4 Hf 2.67, 2 Os 2.86
Os 0.0000 0.0000 0.0000  4 Hf 2.63, 2 Tc 2.86
Os 0.7500 0.2500 0.5000  4 Hf 2.63, 2 Tc 2.86
Hf 0.6292 0.1250 0.2500  2 Os 2.63, 2 Tc 2.67, 2 Hf 2.86
Hf 0.1208 0.6250 0.2500  2 Os 2.63, 2 Tc 2.67, 2 Hf 2.86
Hf 0.3750 0.3708 0.7500  2 Os 2.63, 2 Tc 2.67, 2 Hf 2.86
Hf 0.8750 0.8792 0.7500  2 Os 2.63, 2 Tc 2.67, 2 Hf 2.86

---

## Q
## Hf2TcOs (PBE)

Data for a relaxed Hf2TcOs crystal.

- D(E_F): 2.59 states/eV per cell
- Total magnetization: 0.0 μB/cell
- Space-group type: P4/mmm, No. 123

Lattice parameters (Å, degrees): 3.2514 4.6032 4.6032 90.00 90.00 90.00
With the nearest neighbours (Å) after each atom.
Fractional positions:
Tc 0.5000 0.5000 0.5000  8 Hf 2.82
Os 0.5000 0.0000 0.0000  8 Hf 2.82
Hf 0.0000 0.0000 0.5000  4 Tc 2.82, 4 Os 2.82
Hf 0.0000 0.5000 0.0000  4 Tc 2.82, 4 Os 2.82

---

What should be chosen as the most stable of them? Choose Q.

---

## P
## Hf4TcOs (PBE)

Data for a relaxed Hf4TcOs crystal.

- D(E_F): 8.27 states/eV per cell
- Total magnetization: 0.0 μB/cell
- Space-group type: P4/mmm, No. 123

Lattice parameters (Å, degrees): 3.2894 3.2894 10.4546 90.00 90.00 90.00
With the nearest neighbours (Å) after each atom.
Fractional positions:
Hf 0.0001 0.0001 0.3477  4 Os 2.82, 4 Hf 3.12
Hf 0.9999 0.9999 0.6523  4 Os 2.82, 4 Hf 3.12
Hf 0.4999 0.4999 0.8507  4 Tc 2.80, 5 Hf 3.12
Hf 0.5001 0.5001 0.1493  4 Tc 2.80, 5 Hf 3.12
Tc 0.0000 0.0000 0.0000  8 Hf 2.80
Os 0.5000 0.5000 0.5000  8 Hf 2.82

---

## Q
## Hf4TcOs (PBE)

Data for a relaxed Hf4TcOs crystal.

- D(E_F): 5.98 states/eV per cell
- Total magnetization: 0.0 μB/cell
- Space-group type: R-3m, No. 166

Lattice parameters (Å, degrees): 4.5123 4.5180 7.8189 73.26 73.23 60.04
With the nearest neighbours (Å) after each atom.
Fractional positions:
Hf 0.1251 0.1252 0.6246  3 Tc 2.76-2.77, 1 Os 2.77
Hf 0.6248 0.6249 0.1255  1 Tc 2.76, 3 Os 2.77
Hf 0.8749 0.8748 0.3754  3 Tc 2.76-2.77, 1 Os 2.77
Hf 0.3752 0.3751 0.8745  1 Tc 2.76, 3 Os 2.77
Tc 0.5000 0.5000 0.5000  8 Hf 2.76-2.77
Os 0.0000 0.0000 0.0000  8 Hf 2.77

---

What should be chosen as the most stable of them? Choose P.

---

## P
## HfTeOs3 (PBE)

Data for a relaxed HfTeOs3 crystal.

- D(E_F): 7.49 states/eV per cell
- Total magnetization: 0.0 μB/cell
- Space-group type: Pm-3m, No. 221

Lattice parameters (Å, degrees): 4.7515 4.7515 4.7515 90.00 90.00 90.00
With the nearest neighbours (Å) after each atom.
Fractional positions:
Os 0.0000 0.5000 0.0000  2 Te 2.38
Os 0.0000 0.0000 0.5000  2 Te 2.38
Os 0.5000 0.0000 0.0000  2 Te 2.38
Te 0.0000 0.0000 0.0000  6 Os 2.38
Hf 0.5000 0.5000 0.5000  12 Os 3.36

---

## Q
## HfTeOs3 (PBE)

Data for a relaxed HfTeOs3 crystal.

- D(E_F): 4.89 states/eV per cell
- Total magnetization: 0.0 μB/cell
- Space-group type: Pm-3m, No. 221

Lattice parameters (Å, degrees): 4.8332 4.8332 4.8332 90.00 90.00 90.00
With the nearest neighbours (Å) after each atom.
Fractional positions:
Os 0.0000 0.5000 0.0000  2 Hf 2.42
Os 0.0000 0.0000 0.5000  2 Hf 2.42
Os 0.5000 0.0000 0.0000  2 Hf 2.42
Te 0.5000 0.5000 0.5000  12 Os 3.42
Hf 0.0000 0.0000 0.0000  6 Os 2.42

---

What should be chosen as the most stable of them? Choose P.

---

## P
## Hf2TiOs2 (PBE)

Data for a relaxed Hf2TiOs2 crystal.

- D(E_F): 5.80 states/eV per cell
- Total magnetization: 1.7 μB/cell
- Space-group type: I4/mmm, No. 139

Lattice parameters (Å, degrees): 4.2876 4.2876 6.3750 70.35 70.35 90.00
With the nearest neighbours (Å) after each atom.
Fractional positions:
Os 0.6083 0.6083 0.7834  1 Os 2.43, 4 Hf 2.67
Os 0.3917 0.3917 0.2166  1 Os 2.43, 4 Hf 2.67
Hf 0.2500 0.7500 0.5000  4 Os 2.67
Hf 0.7500 0.2500 0.5000  4 Os 2.67
Ti 0.0000 0.0000 0.0000  8 Os 3.27, 8 Hf 3.53

---

## Q
## Hf2TiOs2 (PBE)

Data for a relaxed Hf2TiOs2 crystal.

- D(E_F): 3.28 states/eV per cell
- Total magnetization: 0.0 μB/cell
- Space-group type: Cmmm, No. 65

Lattice parameters (Å, degrees): 3.0910 3.1036 9.6886 80.78 90.00 90.00
With the nearest neighbours (Å) after each atom.
Fractional positions:
Hf 0.0000 0.8304 0.3392  4 Os 2.76
Hf 0.0000 0.1696 0.6608  4 Os 2.76
Os 0.5000 0.5819 0.8362  4 Ti 2.69, 4 Hf 2.76
Os 0.5000 0.4181 0.1638  4 Ti 2.69, 4 Hf 2.76
Ti 0.0000 0.0000 0.0000  8 Os 2.69

---

What should be chosen as the most stable of them? Choose Q.

---

## P
## HfTiOs (PBE)

Data for a relaxed HfTiOs crystal.

- D(E_F): 9.99 states/eV per cell
- Total magnetization: 0.0 μB/cell
- Space-group type: Amm2, No. 38

Lattice parameters (Å, degrees): 4.5963 3.2096 13.9272 90.00 90.00 90.00
With the nearest neighbours (Å) after each atom.
Fractional positions:
Ti 0.0000 0.5000 0.9874  6 Os 2.75-2.80, 2 Ti 3.03
Ti 0.0000 0.0000 0.1719  2 Os 2.70, 4 Hf 2.83
Ti 0.0000 0.0000 0.4874  6 Os 2.75-2.80, 2 Ti 3.03
Ti 0.0000 0.5000 0.6719  2 Os 2.70, 4 Hf 2.83
Hf 0.5000 0.5000 0.8294  6 Os 2.73-2.80, 2 Hf 3.06
Hf 0.5000 0.0000 0.6426  2 Os 2.68, 4 Ti 2.83
Hf 0.5000 0.0000 0.3294  6 Os 2.73-2.80, 2 Hf 3.06
Hf 0.5000 0.5000 0.1426  2 Os 2.68, 4 Ti 2.83
Os 0.5000 0.0000 0.9882  4 Hf 2.68-2.73, 4 Ti 2.80
Os 0.0000 0.5000 0.3275  4 Ti 2.70-2.75, 4 Hf 2.80
Os 0.0000 0.0000 0.8275  4 Ti 2.70-2.75, 4 Hf 2.80
Os 0.5000 0.5000 0.4882  4 Hf 2.68-2.73, 4 Ti 2.80

---

## Q
## HfTiOs (PBE)

Data for a relaxed HfTiOs crystal.

- D(E_F): 7.61 states/eV per cell
- Total magnetization: 0.0 μB/cell
- Space-group type: I4mm, No. 107

Lattice parameters (Å, degrees): 3.1918 3.1918 10.0431 90.00 90.00 90.00
With the nearest neighbours (Å) after each atom.
Fractional positions:
Hf 0.5000 0.5000 0.3879  4 Os 2.80, 5 Ti 2.95-3.11
Hf 0.0000 0.0000 0.8879  4 Os 2.80, 5 Ti 2.95-3.11
Ti 0.5000 0.5000 0.6980  4 Os 2.68, 4 Hf 2.95
Ti 0.0000 0.0000 0.1980  4 Os 2.68, 4 Hf 2.95
Os 0.0000 0.0000 0.5536  4 Ti 2.68, 4 Hf 2.80
Os 0.5000 0.5000 0.0536  4 Ti 2.68, 4 Hf 2.80

---

## R
## HfTiOs (PBE)

Data for a relaxed HfTiOs crystal.

- D(E_F): 2.23 states/eV per cell
- Total magnetization: 0.0 μB/cell
- Space-group type: P3m1, No. 156

Lattice parameters (Å, degrees): 3.0261 4.4213 4.4213 120.00 90.00 90.00
With the nearest neighbours (Å) after each atom.
Fractional positions:
Os 0.9858 0.0000 0.0000  3 Ti 2.69, 3 Hf 2.73
Ti 0.7070 0.3333 0.6667  3 Os 2.69, 3 Hf 2.82
Hf 0.3072 0.6667 0.3333  3 Os 2.73, 3 Ti 2.82, 2 Hf 3.03

---

## S
## HfTiOs (PBE)

Data for a relaxed HfTiOs crystal.

- D(E_F): 15.89 states/eV per cell
- Total magnetization: 0.0 μB/cell
- Space-group type: Cmmm, No. 65

Lattice parameters (Å, degrees): 4.5193 10.1214 4.4901 90.00 90.00 90.00
With the nearest neighbours (Å) after each atom.
Fractional positions:
Hf 0.5000 0.3439 0.0000  4 Os 2.75-2.76, 2 Hf 2.95, 2 Ti 2.96
Hf 0.5000 0.6561 0.0000  4 Os 2.75-2.76, 2 Hf 2.95, 2 Ti 2.96
Hf 0.0000 0.8439 0.0000  4 Os 2.75-2.76, 2 Hf 2.95, 2 Ti 2.96
Hf 0.0000 0.1561 0.0000  4 Os 2.75-2.76, 2 Hf 2.95, 2 Ti 2.96
Os 0.0000 0.5000 0.0000  4 Ti 2.73, 4 Hf 2.76
Os 0.5000 0.0000 0.0000  4 Ti 2.73, 4 Hf 2.76
Os 0.5000 0.5000 0.5000  4 Ti 2.74, 4 Hf 2.75
Os 0.0000 0.0000 0.5000  4 Ti 2.74, 4 Hf 2.75
Ti 0.5000 0.1529 0.5000  4 Os 2.73-2.74, 2 Hf 2.96, 2 Ti 2.99
Ti 0.5000 0.8471 0.5000  4 Os 2.73-2.74, 2 Hf 2.96, 2 Ti 2.99
Ti 0.0000 0.6529 0.5000  4 Os 2.73-2.74, 2 Hf 2.96, 2 Ti 2.99
Ti 0.0000 0.3471 0.5000  4 Os 2.73-2.74, 2 Hf 2.96, 2 Ti 2.99

---

What should be chosen as the most stable of them? Choose P.